MnSbTe2 after structural relaxation. Source: Alexandria via LeMat-Bulk, functional PBE.

formation energy (no corrections)	0.11	eV per atom
E	-19.1	eV/f.u.
magnetic moment	4.8	μB/f.u.
theoretical density	6.31	g cm⁻³

a = 5.2856 Å, b = 5.2856 Å, c = 5.2856 Å
α = 108.96°, β = 108.96°, γ = 110.49°
Closest atoms and distances in Å follow each position.
Fractional positions:
Mn (0.0000, 0.0000, 0.0000)  2 Sb 3.01, 4 Te 3.07
Sb (0.5000, 0.5000, 0.0000)  2 Mn 3.01, 4 Te 3.07
Te (0.0000, 0.5000, 0.5000)  2 Te 3.01, 2 Mn 3.07, 2 Sb 3.07
Te (0.5000, 0.0000, 0.5000)  2 Te 3.01, 2 Mn 3.07, 2 Sb 3.07